# 1
DFT (PBE-GGA) results for a geometry-optimized Tm6ScRu5 structure.

Structure (POSCAR):
```
Tm6ScRu5
1.0
4.576 0.004 -1.408
-0.758 6.421 -2.447
0.059 -0.540 8.331
Ru Tm Sc
5 6 1
Direct
0.332 0.332 0.664 Ru
0.654 0.154 0.308 Ru
0.346 0.846 0.692 Ru
0.000 0.500 0.000 Ru
0.668 0.668 0.336 Ru
0.174 0.913 0.349 Tm
0.174 0.436 0.349 Tm
0.500 0.272 0.000 Tm
0.826 0.564 0.651 Tm
0.826 0.087 0.651 Tm
0.500 0.728 0.000 Tm
0.000 0.000 0.000 Sc
```

Results
Magnetic moment ... 0.000 Bohr magnetons per cell
ΔE_f ... -426.1 kJ/mol of formula units
Space group ... No. 71
Energy ... -6.996 eV/atom
Fermi-level density of states ... 0.6874 states/eV per atom
Theoretical density ... 10.9 Mg/m³



# 2
DFT (PBE-GGA) results for a geometry-optimized NdCoI structure.

Structure (POSCAR):
```
NdCoI
1.0
4.011 0.000 0.673
1.954 3.508 0.646
-0.078 -0.027 12.748
Co I Nd
2 2 2
Direct
0.769 0.456 0.006 Co
0.436 0.122 0.006 Co
0.322 0.019 0.337 I
0.550 0.225 0.674 I
0.155 0.836 0.853 Nd
0.050 0.741 0.158 Nd
```

Results
Magnetic moment ... 0.528 Bohr magnetons per cell
Space group ... No. 8
Energy ... -5.213 eV/atom
E_form (uncorrected) ... -214 kJ/mol of formula units
Fermi-level density of states ... 0.6809 states/eV per atom
Theoretical density ... 6.1 Mg/m³



# 3
DFT (PBE-GGA) results for a geometry-optimized NaPr5Te8 structure.

Structure (POSCAR):
```
NaPr5Te8
1.0
8.336 0.009 -0.015
-2.813 7.847 0.015
-2.711 -3.964 6.814
Pr Te Na
5 8 1
Direct
0.500 0.000 0.500 Pr
0.876 0.881 0.248 Pr
0.005 0.373 0.124 Pr
0.368 0.119 0.995 Pr
0.752 0.627 0.632 Pr
0.119 0.753 0.517 Te
0.281 0.251 0.379 Te
0.621 0.902 0.873 Te
0.970 0.098 0.719 Te
0.483 0.602 0.236 Te
0.764 0.247 0.366 Te
0.127 0.749 0.030 Te
0.634 0.398 0.881 Te
0.250 0.500 0.750 Na
```

Results
Magnetic moment ... 0.000 Bohr magnetons per cell
Space group ... No. 82
Energy ... -5.024 eV/atom
E_form (uncorrected) ... -1928 kJ/mol of formula units
Theoretical density ... 6.5 Mg/m³



# 4
DFT (PBE-GGA) results for a geometry-optimized Na4Cd3F8 structure.

Structure (POSCAR):
```
Na4Cd3F8
1.0
6.863 -0.149 -0.214
-3.395 6.012 0.196
-3.395 -1.903 5.706
F Na Cd
8 4 3
Direct
0.000 0.238 0.762 F
0.002 0.771 0.771 F
0.500 0.762 0.238 F
0.478 0.228 0.228 F
0.998 0.229 0.229 F
0.500 0.238 0.762 F
0.000 0.762 0.238 F
0.522 0.772 0.772 F
0.000 0.500 0.000 Na
0.000 0.000 0.500 Na
0.500 0.000 0.000 Na
0.000 0.000 0.000 Na
0.500 0.500 0.000 Cd
0.500 0.000 0.500 Cd
0.500 0.500 0.500 Cd
```

Results
Magnetic moment ... 0.000 Bohr magnetons per cell
Space group ... No. 12
Energy ... -3.726 eV/atom
E_form (uncorrected) ... -3174 kJ/mol of formula units
Fermi-level density of states ... 0.0514 states/eV per atom
Theoretical density ... 4.2 Mg/m³



# 5
DFT (PBE-GGA) results for a geometry-optimized AcAuO3 structure.

Structure (POSCAR):
```
AcAuO3
1.0
4.232 0.000 0.000
0.000 5.844 0.000
0.000 0.000 13.545
O Au Ac
12 4 4
Direct
0.256 0.492 0.579 O
0.857 0.000 0.750 O
0.143 0.500 0.250 O
0.744 0.492 0.079 O
0.256 0.992 0.921 O
0.857 0.500 0.750 O
0.256 0.508 0.921 O
0.143 0.000 0.250 O
0.256 0.008 0.579 O
0.744 0.508 0.421 O
0.744 0.992 0.421 O
0.744 0.008 0.079 O
0.087 0.250 0.671 Au
0.087 0.750 0.829 Au
0.913 0.250 0.171 Au
0.913 0.750 0.329 Au
0.262 0.750 0.084 Ac
0.262 0.250 0.416 Ac
0.738 0.250 0.916 Ac
0.738 0.750 0.584 Ac
```

Results
Magnetic moment ... 0.000 Bohr magnetons per cell
Space group ... No. 57
Energy ... -6.335 eV/atom
E_form (uncorrected) ... -908 kJ/mol of formula units
Theoretical density ... 9.4 Mg/m³



# 6
DFT (PBE-GGA) results for a geometry-optimized Mn2CuBiSe structure.

Structure (POSCAR):
```
Mn2CuBiSe
1.0
4.780 0.000 0.000
0.000 5.091 0.000
0.000 0.000 4.780
Se Bi Mn Cu
1 1 2 1
Direct
0.500 0.500 0.500 Se
0.000 0.500 0.000 Bi
0.500 0.000 0.000 Mn
0.000 0.000 0.500 Mn
0.000 0.000 0.000 Cu
```

Results
Magnetic moment ... 8.769 Bohr magnetons per cell
Space group ... No. 123
Energy ... -5.286 eV/atom
E_form (uncorrected) ... 325 kJ/mol of formula units
Fermi-level density of states ... 0.6849 states/eV per atom
Theoretical density ... 6.6 Mg/m³



# 7
DFT (PBE-GGA) results for a geometry-optimized YMoPt2 structure.

Structure (POSCAR):
```
YMoPt2
1.0
9.766 0.086 0.051
9.294 2.999 0.051
9.294 1.505 2.595
Y Pt Mo
1 2 1
Direct
0.502 0.502 0.502 Y
0.002 0.002 0.002 Pt
0.254 0.254 0.254 Pt
0.742 0.742 0.742 Mo
```

Results
Magnetic moment ... 0.000 Bohr magnetons per cell
Energy above the most stable polymorph in this dataset ... 548 meV per atom
ΔE_f ... 27.9 kJ/mol of formula units
Space group ... No. 160
Energy ... -7.272 eV/atom
Fermi-level density of states ... 1.0035 states/eV per atom
Theoretical density ... 13.2 Mg/m³



# 8
DFT (PBE-GGA) results for a geometry-optimized AlGeRhW2 structure.

Structure (POSCAR):
```
AlGeRhW2
1.0
-2.899 -1.498 3.249
1.415 -4.219 -0.682
3.271 0.582 3.188
Al W Rh Ge
1 2 1 1
Direct
0.500 0.500 0.500 Al
0.500 0.000 0.000 W
0.000 0.000 0.500 W
0.000 0.500 0.000 Rh
0.000 0.000 0.000 Ge
```

Results
Magnetic moment ... 0.000 Bohr magnetons per cell
ΔE_f ... 606.3 kJ/mol of formula units
Space group ... No. 123
Energy ... -7.067 eV/atom
Fermi-level density of states ... 0.9843 states/eV per atom
Theoretical density ... 9.9 Mg/m³



# 9
DFT (PBE-GGA) results for a geometry-optimized CrHPd3 structure.

Structure (POSCAR):
```
CrHPd3
1.0
-4.736 0.911 -0.262
-3.034 -4.084 4.090
4.583 5.117 0.373
H Pd Cr
2 6 2
Direct
0.784 0.073 0.878 H
0.444 0.805 0.918 H
0.941 0.382 0.962 Pd
0.786 0.986 0.313 Pd
0.287 0.496 0.834 Pd
0.140 0.124 0.203 Pd
0.442 0.892 0.483 Pd
0.088 0.754 0.593 Pd
0.679 0.563 0.621 Cr
0.549 0.314 0.175 Cr
```

Results
Magnetic moment ... 0.000 Bohr magnetons per cell
Energy above the most stable polymorph in this dataset ... 114 meV per atom
Space group ... No. 2
Energy ... -5.686 eV/atom
Fermi-level density of states ... 0.6596 states/eV per atom
Theoretical density ... 10.0 Mg/m³



# 10
DFT (PBE-GGA) results for a geometry-optimized AcNd2Dy5 structure.

Structure (POSCAR):
```
AcNd2Dy5
1.0
7.296 0.000 0.000
0.000 7.249 0.000
0.000 0.000 20.402
Dy Ac Nd
20 4 8
Direct
0.745 0.503 0.250 Dy
0.745 0.497 0.750 Dy
0.745 0.003 0.250 Dy
0.254 0.000 0.000 Dy
0.746 0.000 0.000 Dy
0.500 0.749 0.874 Dy
0.500 0.751 0.374 Dy
0.000 0.748 0.874 Dy
0.746 0.500 0.500 Dy
0.000 0.752 0.374 Dy
0.255 0.497 0.750 Dy
0.255 0.003 0.250 Dy
0.000 0.252 0.126 Dy
0.255 0.503 0.250 Dy
0.255 0.997 0.750 Dy
0.500 0.249 0.626 Dy
0.000 0.248 0.626 Dy
0.254 0.500 0.500 Dy
0.500 0.251 0.126 Dy
0.745 0.997 0.750 Dy
0.000 0.746 0.626 Ac
0.000 0.246 0.874 Ac
0.000 0.254 0.374 Ac
0.000 0.754 0.126 Ac
0.746 0.500 0.000 Nd
0.746 0.000 0.500 Nd
0.254 0.500 0.000 Nd
0.500 0.754 0.126 Nd
0.500 0.254 0.374 Nd
0.254 0.000 0.500 Nd
0.500 0.246 0.874 Nd
0.500 0.746 0.626 Nd
```

Results
Magnetic moment ... 0.000 Bohr magnetons per cell
ΔE_f ... 21.2 kJ/mol of formula units
Space group ... No. 55
Energy ... -4.554 eV/atom
Fermi-level density of states ... 1.2412 states/eV per atom
Theoretical density ... 8.2 Mg/m³



# 11
DFT (PBE-GGA) results for a geometry-optimized Cs6SF4 structure.

Structure (POSCAR):
```
Cs6SF4
1.0
-2.240 2.285 3.205
-5.014 -2.164 -5.160
-3.311 -18.841 11.119
Cs S F
12 2 8
Direct
0.953 0.906 0.842 Cs
0.670 0.340 0.750 Cs
0.500 0.000 0.000 Cs
0.047 0.094 0.342 Cs
0.773 0.546 0.084 Cs
0.500 0.000 0.500 Cs
0.227 0.454 0.916 Cs
0.227 0.454 0.584 Cs
0.330 0.660 0.250 Cs
0.773 0.546 0.416 Cs
0.047 0.094 0.158 Cs
0.953 0.906 0.658 Cs
0.339 0.678 0.750 S
0.661 0.322 0.250 S
0.597 0.195 0.621 F
0.137 0.274 0.039 F
0.403 0.805 0.121 F
0.403 0.805 0.379 F
0.597 0.195 0.879 F
0.863 0.726 0.961 F
0.863 0.726 0.539 F
0.137 0.274 0.461 F
```

Results
Magnetic moment ... 0.000 Bohr magnetons per cell
Space group ... No. 63
Energy ... -3.700 eV/atom
E_form (uncorrected) ... -2313 kJ/mol of formula units
Fermi-level density of states ... 0.0000 states/eV per atom
Theoretical density ... 4.2 Mg/m³



# 12
DFT (PBE-GGA) results for a geometry-optimized RbReNi2Rh structure.

Structure (POSCAR):
```
RbReNi2Rh
1.0
4.494 0.000 0.000
0.000 4.819 0.000
0.000 0.000 4.494
Re Rb Ni Rh
1 1 2 1
Direct
0.500 0.500 0.500 Re
0.000 0.000 0.000 Rb
0.000 0.000 0.500 Ni
0.500 0.000 0.000 Ni
0.000 0.500 0.000 Rh
```

Results
Magnetic moment ... 4.500 Bohr magnetons per cell
ΔE_f ... 1337.1 kJ/mol of formula units
Space group ... No. 123
Energy ... -3.694 eV/atom
Fermi-level density of states ... 0.8701 states/eV per atom
Theoretical density ... 8.4 Mg/m³